Li2DyAg3 (PBE-GGA, optimized geometry); formation energy from the elements = -0.22 eV/atom; magnetic moment = 0.00 μB/f.u.; calculated volume = 113.7 Å³/f.u.
1.0
3.391 0.000 0.000
0.000 3.391 0.000
0.000 0.000 9.883
Li Dy Ag
2 1 3
direct
0.000 0.000 0.149
0.000 0.000 0.851
0.000 0.000 0.500
0.500 0.500 0.000
0.500 0.500 0.298
0.500 0.500 0.702

---

Pm3Pr2TmS6 (PBE-GGA, optimized geometry); E_form (uncorrected) = -24.1 eV per formula unit; magnetic moment = 0.00 μB/f.u.; calculated volume = 277.1 Å³/f.u.
1.0
3.488 -6.056 0.000
3.488 6.056 0.000
-2.329 0.000 6.559
Pm Pr Tm S
3 2 1 6
direct
0.000 0.000 0.000
0.327 0.673 0.000
0.673 0.327 0.000
0.167 0.833 0.500
0.833 0.167 0.500
0.500 0.500 0.500
0.099 0.418 0.254
0.265 0.265 0.751
0.418 0.099 0.254
0.582 0.901 0.746
0.735 0.735 0.249
0.901 0.582 0.746

---

Pr6BiP3Se2 (PBE-GGA, optimized geometry); E_form (uncorrected) = -18.8 eV per formula unit; magnetic moment = 0.00 μB/f.u.; calculated volume = 338.0 Å³/f.u.
1.0
9.420 -2.136 0.000
9.420 2.136 0.000
-2.156 0.000 8.397
Pr Bi P Se
6 1 3 2
direct
0.003 0.003 0.231
0.326 0.326 0.425
0.337 0.337 0.906
0.663 0.663 0.094
0.674 0.674 0.575
0.997 0.997 0.769
0.500 0.500 0.500
0.166 0.166 0.331
0.500 0.500 0.000
0.834 0.834 0.669
0.169 0.169 0.836
0.831 0.831 0.164

---

Cs2NdAsSe4 (PBE-GGA, optimized geometry); E_form (uncorrected) = -8.0 eV per formula unit; magnetic moment = 0.00 μB/f.u.; calculated volume = 263.3 Å³/f.u.
1.0
-4.519 4.545 6.410
4.519 -4.545 6.410
4.519 4.545 -6.410
Cs Nd As Se
4 2 2 8
direct
0.000 0.000 0.000
0.500 0.000 0.000
0.500 0.000 0.500
0.500 0.500 0.500
0.000 0.500 0.500
0.500 0.500 0.000
0.000 0.000 0.500
0.000 0.500 0.000
0.181 0.734 0.448
0.214 0.266 0.948
0.222 0.257 0.535
0.222 0.687 0.965
0.778 0.313 0.035
0.778 0.743 0.465
0.786 0.734 0.052
0.819 0.266 0.552

---

TlZn2Bi (PBE-GGA, optimized geometry); formation energy from the elements = 0.18 eV/atom; magnetic moment = 0.00 μB/f.u.; calculated volume = 97.7 Å³/f.u.
1.0
5.393 0.000 0.000
0.000 5.393 0.000
0.000 0.000 3.358
Tl Zn Bi
1 2 1
direct
0.000 0.000 0.000
0.000 0.500 0.500
0.500 0.000 0.500
0.500 0.500 0.000

---

Tl3Hg12Te5 (PBE-GGA, optimized geometry); E_form (uncorrected) = 0.8 eV per formula unit; magnetic moment = 0.00 μB/f.u.; calculated volume = 687.6 Å³/f.u.
1.0
-8.826 8.826 8.826
8.826 -8.826 8.826
8.826 8.826 -8.826
Tl Hg Te
12 48 20
direct
0.125 0.250 0.375
0.125 0.375 0.750
0.250 0.375 0.125
0.250 0.875 0.625
0.375 0.125 0.250
0.375 0.750 0.125
0.625 0.250 0.875
0.625 0.875 0.750
0.750 0.125 0.375
0.750 0.625 0.875
0.875 0.625 0.250
0.875 0.750 0.625
0.063 0.235 0.131
0.063 0.328 0.932
0.068 0.631 0.396
0.068 0.937 0.672
0.104 0.735 0.672
0.104 0.869 0.432
0.131 0.063 0.235
0.131 0.568 0.896
0.172 0.235 0.604
0.172 0.437 0.568
0.235 0.131 0.063
0.235 0.604 0.172
0.265 0.328 0.896
0.265 0.437 0.369
0.328 0.896 0.265
0.328 0.932 0.063
0.369 0.265 0.437
0.369 0.604 0.932
0.396 0.068 0.631
0.396 0.828 0.765
0.432 0.104 0.869
0.432 0.828 0.563
0.437 0.369 0.265
0.437 0.568 0.172
0.563 0.432 0.828
0.563 0.631 0.735
0.568 0.172 0.437
0.568 0.896 0.131
0.604 0.172 0.235
0.604 0.932 0.369
0.631 0.396 0.068
0.631 0.735 0.563
0.672 0.068 0.937
0.672 0.104 0.735
0.735 0.563 0.631
0.735 0.672 0.104
0.765 0.396 0.828
0.765 0.869 0.937
0.828 0.563 0.432
0.828 0.765 0.396
0.869 0.432 0.104
0.869 0.937 0.765
0.896 0.131 0.568
0.896 0.265 0.328
0.932 0.063 0.328
0.932 0.369 0.604
0.937 0.672 0.068
0.937 0.765 0.869
0.000 0.000 0.000
0.000 0.000 0.500
0.000 0.500 0.000
0.000 0.500 0.500
0.125 0.750 0.875
0.125 0.875 0.250
0.250 0.125 0.875
0.250 0.625 0.375
0.375 0.250 0.625
0.375 0.625 0.750
0.500 0.000 0.000
0.500 0.000 0.500
0.500 0.500 0.000
0.500 0.500 0.500
0.625 0.375 0.250
0.625 0.750 0.375
0.750 0.375 0.625
0.750 0.875 0.125
0.875 0.125 0.750
0.875 0.250 0.125

---

CaScOs2 (PBE-GGA, optimized geometry); formation energy from the elements = 0.39 eV/atom; magnetic moment = 0.00 μB/f.u.; calculated volume = 72.1 Å³/f.u.; excess energy over the best structure of this formula in the dataset = 279.4 meV per atom
1.0
4.589 0.000 0.000
0.000 4.589 0.000
0.000 0.000 3.422
Ca Sc Os
1 1 2
direct
0.000 0.000 0.000
0.500 0.500 0.000
0.000 0.500 0.500
0.500 0.000 0.500

---

Ba2V2Ni (PBE-GGA, optimized geometry); formation energy from the elements = 0.90 eV/atom; magnetic moment = 0.00 μB/f.u.; calculated volume = 141.9 Å³/f.u.; excess energy over the best structure of this formula in the dataset = 222.4 meV per atom
1.0
6.371 0.000 0.000
0.000 6.371 0.000
0.000 0.000 6.991
Ba V Ni
4 4 2
direct
0.000 0.500 0.250
0.000 0.500 0.750
0.500 0.000 0.250
0.500 0.000 0.750
0.000 0.000 0.131
0.000 0.000 0.869
0.500 0.500 0.369
0.500 0.500 0.631
0.000 0.000 0.500
0.500 0.500 0.000

---

CsNa2AlZn (PBE-GGA, optimized geometry); formation energy from the elements = 0.15 eV/atom; magnetic moment = 0.00 μB/f.u.; calculated volume = 181.8 Å³/f.u.; excess energy over the best structure of this formula in the dataset = 0.0 meV per atom
1.0
6.054 0.000 0.000
0.000 6.054 0.000
0.000 0.000 4.961
Cs Na Al Zn
1 2 1 1
direct
0.000 0.000 0.000
0.000 0.500 0.500
0.500 0.000 0.500
0.500 0.500 0.500
0.500 0.500 0.000

---

YBi2P2Pd7 (PBE-GGA, optimized geometry); formation energy from the elements = -0.51 eV/atom; magnetic moment = 0.00 μB/f.u.; calculated volume = 235.0 Å³/f.u.
1.0
2.996 -3.432 0.000
2.996 3.432 0.000
-0.719 0.000 11.428
Y Bi P Pd
1 2 2 7
direct
0.000 0.000 0.000
0.148 0.148 0.383
0.852 0.852 0.617
0.312 0.312 0.815
0.688 0.688 0.185
0.164 0.575 0.205
0.364 0.364 0.609
0.425 0.836 0.795
0.500 0.500 0.000
0.575 0.164 0.205
0.636 0.636 0.391
0.836 0.425 0.795

---

Ce2BeCuAu6 (PBE-GGA, optimized geometry); formation energy from the elements = -0.35 eV/atom; magnetic moment = 2.32 μB/f.u.; calculated volume = 209.8 Å³/f.u.
1.0
5.548 -3.103 0.000
5.548 3.103 0.000
-4.093 0.000 6.092
Ce Be Cu Au
2 1 1 6
direct
0.214 0.214 0.170
0.786 0.786 0.830
0.000 0.000 0.500
0.500 0.500 0.000
0.244 0.244 0.638
0.263 0.736 0.285
0.264 0.737 0.715
0.736 0.263 0.285
0.737 0.264 0.715
0.756 0.756 0.362

---

DyU2P3 (PBE-GGA, optimized geometry); formation energy from the elements = -1.18 eV/atom; magnetic moment = 4.40 μB/f.u.; calculated volume = 131.1 Å³/f.u.
1.0
5.589 0.000 0.000
0.000 11.887 0.000
-0.002 0.000 7.896
Dy U P
4 8 12
direct
0.250 0.082 0.124
0.250 0.418 0.624
0.750 0.582 0.376
0.750 0.918 0.876
0.250 0.084 0.623
0.250 0.416 0.123
0.251 0.748 0.625
0.251 0.752 0.125
0.749 0.248 0.875
0.749 0.252 0.375
0.750 0.584 0.877
0.750 0.916 0.377
0.249 0.249 0.874
0.249 0.251 0.374
0.250 0.585 0.371
0.250 0.585 0.877
0.250 0.915 0.377
0.250 0.915 0.871
0.750 0.085 0.129
0.750 0.085 0.623
0.750 0.415 0.123
0.750 0.415 0.629
0.751 0.749 0.626
0.751 0.751 0.126

---

Ce4MgAs5 (PBE-GGA, optimized geometry); formation energy from the elements = -1.23 eV/atom; magnetic moment = 2.42 μB/f.u.; calculated volume = 255.3 Å³/f.u.
1.0
2.107 1.217 16.597
-2.107 1.217 16.597
0.000 -2.433 16.597
Ce Mg As
4 1 5
direct
0.105 0.105 0.105
0.299 0.299 0.299
0.701 0.701 0.701
0.895 0.895 0.895
0.500 0.500 0.500
0.000 0.000 0.000
0.197 0.197 0.197
0.403 0.403 0.403
0.597 0.597 0.597
0.803 0.803 0.803

---

Be2Te (PBE-GGA, optimized geometry); E_form (uncorrected) = 0.4 eV per formula unit; magnetic moment = 0.00 μB/f.u.; calculated volume = 54.0 Å³/f.u.; excess energy over the best structure of this formula in the dataset = 125.6 meV per atom
1.0
10.335 0.000 0.000
0.000 3.789 0.000
-2.919 0.000 5.515
Be Te
8 4
direct
0.193 0.000 0.009
0.215 0.500 0.241
0.285 0.000 0.759
0.307 0.500 0.991
0.693 0.500 0.009
0.715 0.000 0.241
0.785 0.500 0.759
0.807 0.000 0.991
0.085 0.000 0.308
0.415 0.500 0.692
0.585 0.500 0.308
0.915 0.000 0.692

---

PaNbSe3 (PBE-GGA, optimized geometry); E_form (uncorrected) = -5.6 eV per formula unit; magnetic moment = 0.99 μB/f.u.; calculated volume = 112.2 Å³/f.u.; excess energy over the best structure of this formula in the dataset = 0.0 meV per atom
1.0
7.169 -1.845 0.000
7.169 1.845 0.000
-6.027 0.000 8.486
Pa Nb Se
2 2 6
direct
0.083 0.083 0.415
0.917 0.917 0.585
0.251 0.251 0.890
0.749 0.749 0.110
0.094 0.094 0.944
0.325 0.325 0.694
0.392 0.392 0.336
0.608 0.608 0.664
0.675 0.675 0.306
0.906 0.906 0.056